[1]
A relaxed Pu3Al crystal. Source: Alexandria, functional PBE.

Results
DFT total energy: -11.675 eV per atom
Energy of formation from the pure elements: 0.23 kcal/mol of atoms
Volume: 89 Å³/cell
Magnetization: 5.37 Bohr magnetons per cell
Theoretical density: 14.20 g cm⁻³

The structure in CIF format:
```
data_Pu3Al
_symmetry_space_group_name_H-M 'P 1'
_symmetry_Int_Tables_number 1
_symmetry_space_group_name_Hall 'P 1'
_cell_length_a 3.033
_cell_length_b 5.240
_cell_length_c 5.584
_cell_angle_alpha 90.00
_cell_angle_beta 90.00
_cell_angle_gamma 90.00
loop_
_atom_site_label
_atom_site_type_symbol
_atom_site_fract_x
_atom_site_fract_y
_atom_site_fract_z
_atom_site_occupancy
Pu1 Pu 0.000 0.000 0.000 1
Pu2 Pu 0.000 0.500 0.350 1
Pu3 Pu 0.500 0.500 0.802 1
Al1 Al 0.500 0.000 0.505 1
```

***

[2]
A relaxed ZnIrPdO6 crystal. Source: Alexandria, functional PBE.

Results
DFT total energy: -5.609 eV per atom
ΔE_f (raw): -0.60 eV per atom
Volume: 205 Å³/cell
Magnetization: 3.78 Bohr magnetons per cell
Theoretical density: 7.45 g cm⁻³

The structure in CIF format:
```
data_ZnIrPdO6
_symmetry_space_group_name_H-M 'P 1'
_symmetry_Int_Tables_number 1
_symmetry_space_group_name_Hall 'P 1'
_cell_length_a 5.165
_cell_length_b 5.165
_cell_length_c 8.875
_cell_angle_alpha 90.00
_cell_angle_beta 90.00
_cell_angle_gamma 120.00
loop_
_atom_site_label
_atom_site_type_symbol
_atom_site_fract_x
_atom_site_fract_y
_atom_site_fract_z
_atom_site_occupancy
Zn1 Zn 0.000 0.000 0.000 1
Zn2 Zn 0.000 0.000 0.500 1
Ir1 Ir 0.333 0.667 0.250 1
Ir2 Ir 0.667 0.333 0.750 1
Pd1 Pd 0.333 0.667 0.750 1
Pd2 Pd 0.667 0.333 0.250 1
O1 O 0.010 0.357 0.129 1
O2 O 0.010 0.653 0.371 1
O3 O 0.347 0.357 0.371 1
O4 O 0.347 0.990 0.129 1
O5 O 0.357 0.010 0.629 1
O6 O 0.357 0.347 0.871 1
O7 O 0.643 0.653 0.129 1
O8 O 0.643 0.990 0.371 1
O9 O 0.653 0.010 0.871 1
O10 O 0.653 0.643 0.629 1
O11 O 0.990 0.347 0.629 1
O12 O 0.990 0.643 0.871 1
```

***

[3]
A relaxed YNi2Br crystal. Source: Alexandria, functional PBE.

Results
DFT total energy: -5.398 eV per atom
ΔE_f (raw): -0.47 eV per atom
Offset from the most stable computed form: 0 meV per atom
Volume: 88 Å³/cell
Magnetization: 0.00 Bohr magnetons per cell
Theoretical density: 5.42 g cm⁻³

The structure in CIF format:
```
data_YNi2Br
_symmetry_space_group_name_H-M 'P 1'
_symmetry_Int_Tables_number 1
_symmetry_space_group_name_Hall 'P 1'
_cell_length_a 3.925
_cell_length_b 3.925
_cell_length_c 6.577
_cell_angle_alpha 90.06
_cell_angle_beta 90.06
_cell_angle_gamma 60.01
loop_
_atom_site_label
_atom_site_type_symbol
_atom_site_fract_x
_atom_site_fract_y
_atom_site_fract_z
_atom_site_occupancy
Y1 Y 0.000 0.000 0.000 1
Ni1 Ni 0.333 0.333 0.724 1
Ni2 Ni 0.666 0.666 0.744 1
Br1 Br 0.334 0.334 0.299 1
```